Record 1
DFT (PBE) results for crystalline NdThSc3 at its relaxed geometry.

Computed properties:
The formation enthalpy at 0 K is 24.99 kJ/mol of atoms.

Unit cell a=8.0336 b=8.0336 c=11.0809 alpha=90.00 beta=90.00 gamma=155.40
Positions (direct):
Nd 0.1352 0.8648 0.0000
Nd 0.8648 0.1352 0.0000
Th 0.1460 0.8540 0.5000
Th 0.8540 0.1460 0.5000
Sc 0.0028 0.0028 0.7334
Sc 0.3295 0.6686 0.2515
Sc 0.3314 0.6705 0.7485
Sc 0.6686 0.3295 0.2515
Sc 0.6705 0.3314 0.7485
Sc 0.9972 0.9972 0.2666

Record 2
DFT (PBE) results for crystalline TlCu2Br at its relaxed geometry.

Computed properties:
The value obtained for the energy relative to the elements, uncorrected is 190 meV per atom.

Unit cell a=3.5852 b=3.5852 c=21.8286 alpha=90.00 beta=90.00 gamma=120.00
Positions (direct):
Tl 0.0000 0.0000 0.0000
Tl 0.3333 0.6667 0.6667
Tl 0.6667 0.3333 0.3333
Cu 0.0000 0.0000 0.2465
Cu 0.0000 0.0000 0.7535
Cu 0.3333 0.6667 0.4202
Cu 0.3333 0.6667 0.9131
Cu 0.6667 0.3333 0.0869
Cu 0.6667 0.3333 0.5798
Br 0.0000 0.0000 0.5000
Br 0.3333 0.6667 0.1667
Br 0.6667 0.3333 0.8333

We obtain energy values of -5.977 -2.868 eV per atom for the records listed above, in that order.
We obtain distance to the lowest polymorph of the same formula values of 210 142 meV/atom for the records listed above, in that order.